1.
Compound: BeCr2Hg
Source: Alexandria
Functional: GGA-PBE
Structure: optimized geometry

## Properties
E above lowest polymorph	0.0	meV per atom
energy relative to the elements	0.295	eV/atom
VASP energy	-22.1	eV for the cell shown

a b c (Å): 2.987 2.987 6.056
angles (deg): 90.00 90.00 90.00
Fractional coordinates of all 4 atoms:
1 Cr 0.000 0.000 0.004
2 Cr 0.500 0.500 0.185
3 Hg 0.000 0.000 0.523
4 Be 0.500 0.500 0.788

=====

2.
Compound: BeCr2Hg
Source: Alexandria
Functional: GGA-PBE
Structure: optimized geometry

## Properties
E above lowest polymorph	174.9	meV per atom
energy relative to the elements	0.469	eV/atom
VASP energy	-21.4	eV for the cell shown

a b c (Å): 4.812 4.812 3.967
angles (deg): 71.51 71.51 37.51
Fractional coordinates of all 4 atoms:
1 Cr 0.988 0.988 0.054
2 Cr 0.512 0.512 0.446
3 Hg 0.750 0.750 0.750
4 Be 0.250 0.250 0.250

=====

3.
Compound: BeCrHg2
Source: Alexandria
Functional: GGA-PBE
Structure: optimized geometry

## Properties
E above lowest polymorph	88.0	meV per atom
energy relative to the elements	0.513	eV/atom
VASP energy	-11.9	eV for the cell shown

a b c (Å): 5.584 5.584 4.535
angles (deg): 66.37 66.37 32.88
Fractional coordinates of all 4 atoms:
1 Cr 0.205 0.205 0.296
2 Hg 0.000 0.000 0.000
3 Hg 0.789 0.789 0.712
4 Be 0.505 0.505 0.492

=====

4.
Compound: BeCrHg2
Source: Alexandria
Functional: GGA-PBE
Structure: optimized geometry

## Properties
E above lowest polymorph	127.0	meV per atom
energy relative to the elements	0.552	eV/atom
VASP energy	-11.7	eV for the cell shown

a b c (Å): 5.139 5.139 5.139
angles (deg): 133.49 133.49 67.89
Fractional coordinates of all 4 atoms:
1 Cr 0.750 0.250 0.500
2 Hg 0.000 0.000 0.000
3 Hg 0.250 0.750 0.500
4 Be 0.500 0.500 0.000

=====

5.
Compound: BeCr2Hg
Source: Alexandria
Functional: GGA-PBE
Structure: optimized geometry

## Properties
E above lowest polymorph	480.2	meV per atom
energy relative to the elements	0.775	eV/atom
VASP energy	-20.2	eV for the cell shown

a b c (Å): 8.681 8.681 8.681
angles (deg): 18.06 18.06 18.06
Fractional coordinates of all 4 atoms:
1 Cr 0.010 0.010 0.010
2 Cr 0.490 0.490 0.490
3 Hg 0.250 0.250 0.250
4 Be 0.750 0.750 0.750

=====

6.
Compound: BeCr2Hg
Source: Alexandria
Functional: GGA-PBE
Structure: optimized geometry

## Properties
E above lowest polymorph	211.0	meV per atom
energy relative to the elements	0.505	eV/atom
VASP energy	-21.3	eV for the cell shown

a b c (Å): 2.694 2.694 8.193
angles (deg): 90.00 90.00 111.93
Fractional coordinates of all 4 atoms:
1 Cr 0.000 0.000 0.999
2 Cr 0.500 0.500 0.209
3 Hg 0.000 0.000 0.510
4 Be 0.500 0.500 0.783